5
Lattice="5.2138 0.0000 0.0000 0.0000 5.2138 0.0000 0.0000 0.0000 3.8048" Properties=species:S:1:pos:R:3 comment="Ca2IrBrN, optimized geometry, DFT PBE" total_energy_ev_per_atom=-5.508 magnetic_moment_mub_per_atom=0.000 e_form_raw_mev_per_atom=-936 de_polymorph_mev_per_atom=0 pbc="T T T"
Ca 0.0000 2.6069 0.0000
Ca 2.6069 0.0000 0.0000
Ir 0.0000 0.0000 1.9024
Br 2.6069 2.6069 1.9024
N 0.0000 0.0000 0.0000